[1]
DFT (PBE-GGA) results for a relaxed BICl2 crystal.

Cell: 7.359 7.359 7.359 Å, 45.52 45.52 45.52°
Element x y z (fractional)
B: 0.000 0.000 0.000
Cl: 0.918 0.918 0.918
Cl: 0.082 0.082 0.082
I: 0.500 0.500 0.500

Values from the calculation:
- Volume: 184.9 Å³/cell
- Raw total energy: -3.012 eV per atom
- SG: No. 166
- Energy above the lowest structure with this stoichiometry: 59.7 kJ/mol of atoms

[2]
DFT (PBE-GGA) results for a relaxed BICl2 crystal.

Cell: 6.542 6.551 6.551 Å, 64.47 60.04 60.04°
Element x y z (fractional)
I: 0.000 0.941 0.059
B: 0.000 0.636 0.364
Cl: 0.169 0.343 0.320
Cl: 0.831 0.680 0.657

Values from the calculation:
- Volume: 204.5 Å³/cell
- Raw total energy: -3.631 eV per atom
- SG: No. 44
- Energy above the lowest structure with this stoichiometry: 0.0 kJ/mol of atoms

[3]
DFT (PBE-GGA) results for a relaxed BICl2 crystal.

Cell: 5.177 5.177 5.177 Å, 60.00 60.00 60.00°
Element x y z (fractional)
B: 0.000 0.000 0.000
I: 0.500 0.500 0.500
Cl: 0.250 0.250 0.250
Cl: 0.750 0.750 0.750

Values from the calculation:
- Volume: 98.1 Å³/cell
- Raw total energy: -1.652 eV per atom
- SG: No. 225
- Energy above the lowest structure with this stoichiometry: 191.0 kJ/mol of atoms

no.,E_form (uncorrected) (eV/atom)
1,-0.03
2,-0.65
3,1.33